# 1
Below is a relaxed structure of HfAsRuBr2, with properties calculated at the PBE-GGA level.

Structure (POSCAR):
```
HfAsRuBr2
1.0
4.9426 0.0000 0.0000
0.0000 4.9426 0.0000
0.0000 0.0000 4.8190
Hf As Ru Br
1 1 1 2
direct
0.0000 0.0000 0.0000
0.5000 0.5000 0.0000
0.5000 0.5000 0.5000
0.0000 0.5000 0.5000
0.5000 0.0000 0.5000
```

The value obtained for the calculated density is 7.25 g cm⁻³. The total DFT energy (no corrections) comes out at -4.791 eV/atom. For the density of states at the Fermi level, the calculation gives 6.66 states/eV/cell. The value obtained for the formation energy without anion corrections is 3.271 eV per formula unit. The energy above the most stable polymorph in this dataset is 104 meV per atom.


# 2
Below is a relaxed structure of HfAs2SBr, with properties calculated at the PBE-GGA level.

Structure (POSCAR):
```
HfAs2SBr
1.0
5.2369 0.0000 0.0000
0.0000 5.2369 0.0000
0.0000 0.0000 5.0322
Hf As S Br
1 2 1 1
direct
0.0000 0.0000 0.0000
0.0000 0.5000 0.0000
0.5000 0.0000 0.0000
0.5000 0.5000 0.5000
0.0000 0.0000 0.5000
```

The value obtained for the calculated density is 5.30 g cm⁻³. The total DFT energy (no corrections) comes out at -4.696 eV/atom. For the density of states at the Fermi level, the calculation gives 3.98 states/eV/cell. The value obtained for the formation energy without anion corrections is 1.573 eV per formula unit. The energy above the most stable polymorph in this dataset is 0 meV per atom.